[1]
Ba5Ca, optimized geometry, DFT PBE; total energy = -11.5 eV for the cell shown; relative energy among the computed polymorphs = 11 meV/atom; formation energy = 25 meV/atom
1.0
7.574 0.000 0.000
-3.787 6.559 0.000
0.000 0.000 7.167
Ba Ca
5 1
direct
0.000 0.672 0.000
0.328 0.328 0.000
0.333 0.667 0.500
0.667 0.333 0.500
0.672 0.000 0.000
0.000 0.000 0.500



[2]
BaCa2, optimized geometry, DFT PBE; total energy = -23.3 eV for the cell shown; relative energy among the computed polymorphs = 15 meV/atom; formation energy = 35 meV/atom
1.0
4.047 0.000 0.000
0.000 21.352 0.000
0.000 0.000 6.729
Ba Ca
4 8
direct
0.000 0.112 0.250
0.000 0.888 0.750
0.500 0.388 0.750
0.500 0.612 0.250
0.000 0.219 0.750
0.000 0.443 0.250
0.000 0.557 0.750
0.000 0.781 0.250
0.500 0.057 0.750
0.500 0.281 0.250
0.500 0.719 0.750
0.500 0.943 0.250



[3]
BaCa, optimized geometry, DFT PBE; total energy = -12.6 eV for the cell shown; relative energy among the computed polymorphs = 360 meV/atom; formation energy = 382 meV/atom
1.0
7.630 0.000 0.000
0.000 7.630 0.000
0.000 0.000 7.630
Ba Ca
4 4
direct
0.000 0.000 0.000
0.000 0.500 0.500
0.500 0.000 0.500
0.500 0.500 0.000
0.000 0.000 0.500
0.000 0.500 0.000
0.500 0.000 0.000
0.500 0.500 0.500



[4]
BaCa, optimized geometry, DFT PBE; total energy = -22.2 eV for the cell shown; relative energy among the computed polymorphs = 87 meV/atom; formation energy = 108 meV/atom
1.0
4.063 0.000 0.000
0.000 19.699 0.000
0.000 0.000 7.967
Ba Ca
6 6
direct
0.000 0.000 0.000
0.000 0.325 0.256
0.000 0.675 0.256
0.500 0.175 0.756
0.500 0.500 0.500
0.500 0.825 0.756
0.000 0.000 0.505
0.000 0.357 0.766
0.000 0.643 0.766
0.500 0.143 0.266
0.500 0.500 0.005
0.500 0.857 0.266